1.
Mn2CuPt: relaxed, PBE.

Structure (POSCAR):
```
Mn2CuPt
1.0
-2.034 -0.688 -1.828
-2.613 -1.433 3.447
-1.048 4.407 -0.494
Cu Mn Pt
1 2 1
direct
0.500 0.000 0.000 Cu
0.000 0.000 0.500 Mn
0.000 0.500 0.000 Mn
0.500 0.500 0.500 Pt
```

## Properties
The value obtained for the energy of formation is -0.09 eV per atom. Its symmetry is Cmmm.


2.
MnCu2Pt8: relaxed, PBE.

Structure (POSCAR):
```
MnCu2Pt8
1.0
-1.742 -2.777 2.151
3.776 -4.260 -2.442
4.157 3.773 4.663
Mn Cu Pt
1 2 8
direct
0.500 0.000 0.000 Mn
0.227 0.634 0.454 Cu
0.773 0.366 0.546 Cu
0.595 0.449 0.191 Pt
0.318 0.087 0.637 Pt
0.137 0.186 0.274 Pt
0.047 0.727 0.095 Pt
0.863 0.814 0.726 Pt
0.682 0.913 0.363 Pt
0.405 0.551 0.809 Pt
0.953 0.273 0.905 Pt
```

## Properties
The value obtained for the energy of formation is -0.19 eV per atom. Its symmetry is C2/m.


3.
Mn2CuPt: relaxed, PBE.

Structure (POSCAR):
```
Mn2CuPt
1.0
-1.368 -2.874 -1.977
-0.373 -1.991 3.153
-9.062 0.750 1.628
Mn Cu Pt
4 2 2
direct
0.624 0.125 0.250 Mn
0.126 0.625 0.250 Mn
0.375 0.376 0.750 Mn
0.875 0.874 0.750 Mn
0.500 0.500 0.000 Cu
0.250 0.750 0.500 Cu
0.000 0.000 0.000 Pt
0.750 0.250 0.500 Pt
```

## Properties
The value obtained for the energy of formation is 0.37 eV per atom. Its symmetry is I-42d.


4.
Mn2CuPt4: relaxed, PBE.

Structure (POSCAR):
```
Mn2CuPt4
1.0
-6.269 2.454 1.769
-1.798 -0.743 -5.343
-0.765 -4.774 3.911
Mn Cu Pt
4 2 8
direct
0.000 0.748 0.496 Mn
0.000 0.252 0.504 Mn
0.500 0.752 0.504 Mn
0.500 0.248 0.496 Mn
0.000 0.000 0.000 Cu
0.500 0.500 0.000 Cu
0.751 0.629 0.758 Pt
0.751 0.371 0.242 Pt
0.749 0.871 0.242 Pt
0.749 0.129 0.758 Pt
0.251 0.871 0.242 Pt
0.251 0.129 0.758 Pt
0.249 0.629 0.758 Pt
0.249 0.371 0.242 Pt
```

## Properties
The value obtained for the energy of formation is -0.20 eV per atom. Its symmetry is C2/m.


5.
MnCu3Pt: relaxed, PBE.

Structure (POSCAR):
```
MnCu3Pt
1.0
-1.753 -3.563 -1.848
3.249 -0.076 -2.936
2.357 -2.546 2.673
Mn Cu Pt
1 3 1
direct
0.000 0.000 0.000 Mn
0.000 0.500 0.000 Cu
0.000 0.000 0.500 Cu
0.500 0.000 0.000 Cu
0.500 0.500 0.500 Pt
```

## Properties
The value obtained for the energy of formation is 1.15 eV per atom. Its symmetry is Pm-3m. For the excess energy over the best structure of this formula in the dataset, the calculation gives 1228 meV per atom.


6.
MnCu14Pt: relaxed, PBE.

Structure (POSCAR):
```
MnCu14Pt
1.0
5.193 -0.316 0.000
-2.326 4.654 0.000
0.000 0.000 8.465
Mn Cu Pt
1 14 1
direct
0.044 0.956 0.500 Mn
0.208 0.792 0.000 Cu
0.709 0.291 0.000 Cu
0.041 0.455 0.500 Cu
0.207 0.292 0.000 Cu
0.545 0.959 0.500 Cu
0.708 0.793 0.000 Cu
0.374 0.123 0.757 Cu
0.374 0.123 0.243 Cu
0.877 0.626 0.757 Cu
0.877 0.626 0.243 Cu
0.373 0.627 0.754 Cu
0.373 0.627 0.246 Cu
0.874 0.126 0.754 Cu
0.874 0.126 0.246 Cu
0.543 0.457 0.500 Pt
```

## Properties
The value obtained for the energy of formation is -0.02 eV per atom. Its symmetry is Amm2.